KBeV | PBE | optimized geometry

a b c (Å): 6.825 6.825 6.825
angles (deg): 90.00 90.00 90.00
Space group F-43m (No. 216)
Unique sites:
K 0.000 0.000 0.000 x4
Be 0.250 0.250 0.250 x4
V 0.000 0.000 0.500 x4

Summary:
**Total magnetization**: 16.557 μB per cell
**Polymorph energy (0 for the lowest one)**: 1140 meV per atom
**Crystal system**: cubic



KBeV | PBE | optimized geometry

a b c (Å): 4.055 6.898 11.894
angles (deg): 90.00 90.00 90.00
Space group Immm (No. 71)
Unique sites:
K 0.000 0.000 0.177 x4
Be 0.000 0.500 0.084 x4
V 0.000 0.135 0.500 x4

Summary:
**Total magnetization**: 0.000 μB per cell
**Polymorph energy (0 for the lowest one)**: 290 meV per atom
**Crystal system**: orthorhombic



KBeV | PBE | optimized geometry

a b c (Å): 3.064 6.488 6.633
angles (deg): 83.88 79.28 81.38
Space group P1 (No. 1)
Unique sites:
K 0.000 0.000 0.000 x1
K 0.372 0.506 0.850 x1
Be 0.484 0.675 0.354 x1
Be 0.883 0.834 0.499 x1
V 0.029 0.384 0.384 x1
V 0.340 0.125 0.465 x1

Summary:
**Total magnetization**: 0.000 μB per cell
**Polymorph energy (0 for the lowest one)**: 329 meV per atom
**Crystal system**: triclinic



KBeV | PBE | optimized geometry

a b c (Å): 3.957 4.384 10.321
angles (deg): 94.95 90.10 90.00
Space group P1 (No. 1)
Unique sites:
K 0.000 0.000 0.000 x1
K 0.498 0.577 0.407 x1
Be 0.998 0.147 0.633 x1
Be 0.998 0.650 0.656 x1
V 0.498 0.383 0.729 x1
V 0.499 0.945 0.722 x1

Summary:
**Total magnetization**: 0.000 μB per cell
**Polymorph energy (0 for the lowest one)**: 127 meV per atom
**Crystal system**: triclinic